VASP calculation (PBE+U) on MgAgWF6 after structural relaxation.

abc: 5.5973 5.5973 10.1686
angles: 90.00 90.00 120.00
With the nearest neighbours (Å) after each atom.
Element x y z (fractional)
1 Mg 0.3333 0.6667 0.2500  6 F 2.03
2 Mg 0.6667 0.3333 0.7500  6 F 2.03
3 Ag 0.0000 0.0000 0.0000  6 F 2.52
4 Ag 0.0000 0.0000 0.5000  6 F 2.52
5 W 0.6667 0.3333 0.2500  6 F 2.13
6 W 0.3333 0.6667 0.7500  6 F 2.13
7 F 0.6302 0.6433 0.1460  1 Mg 2.03, 1 W 2.13
8 F 0.0130 0.3698 0.1460  1 Mg 2.03, 1 W 2.13
9 F 0.3698 0.0130 0.6460  1 Mg 2.03, 1 W 2.13
10 F 0.9870 0.6302 0.8540  1 Mg 2.03, 1 W 2.13
11 F 0.3567 0.3698 0.3540  1 Mg 2.03, 1 W 2.13
12 F 0.0130 0.6433 0.3540  1 Mg 2.03, 1 W 2.13
13 F 0.6433 0.0130 0.8540  1 Mg 2.03, 1 W 2.13
14 F 0.6302 0.9870 0.3540  1 Mg 2.03, 1 W 2.13
15 F 0.9870 0.3567 0.6460  1 Mg 2.03, 1 W 2.13
16 F 0.3567 0.9870 0.1460  1 Mg 2.03, 1 W 2.13
17 F 0.6433 0.6302 0.6460  1 Mg 2.03, 1 W 2.13
18 F 0.3698 0.3567 0.8540  1 Mg 2.03, 1 W 2.13

Properties
SG = P-31c, No. 163
E = -91.191 eV for the cell shown
Volume = 15.3 Å³/atom
Size of the total moment = 5.992 Bohr magnetons per cell